Below is an optimized crystal structure of NdHo2Sb, with properties calculated at the GGA-PBE level.

```
NdHo2Sb
1.0
-0.6664 2.3798 4.0859
-3.5688 -3.0528 1.1960
3.2082 -2.8868 2.2046
Sb Ho Nd
1 2 1
Cartesian
-0.3332 1.1899 2.0429 Sb
1.6041 -1.4434 1.1023 Ho
-1.7844 -1.5264 0.5980 Ho
-0.5135 -1.7799 3.7432 Nd
```

- Calculated density: 8.82 g/cm3
- Calculated volume: 28.04 Å³/atom
- Space-group type: No. 123
- Uncorrected formation energy: -0.49 eV per atom